The following is a DFT calculation (PBE-GGA) of an optimized crystal structure of TlWSe3.

For the total energy, the calculation gives -0.1905 Ha/atom. The energy relative to the lowest polymorph listed for this composition is 332 meV per atom. As for the raw formation energy: -0.029 eV/atom.

The space group is Pm-3m (No. 221) and the conventional cell measures 5.025, 5.025 and 5.025 Å, with angles of 90.00, 90.00 and 90.00 degrees. The distinct sites, in fractional coordinates, are Tl at (0.000, 0.000, 0.000), W at (0.500, 0.500, 0.500) and Se at (0.000, 0.500, 0.500).